LiY2Au2 | the Alexandria database | SCAN | PBEsol geometry; V = 22.82 Å³/atom; calculated formation energy = -925.5 meV/atom; final energy = -40.20 eV/atom
1.0
7.828 0.000 0.000
0.000 7.828 0.000
0.000 0.000 3.724
Li Y Au
2 4 4
Direct
0.000 0.000 0.000
0.500 0.500 0.000
0.163 0.337 0.500
0.337 0.837 0.500
0.663 0.163 0.500
0.837 0.663 0.500
0.135 0.635 0.000
0.365 0.135 0.000
0.635 0.865 0.000
0.865 0.365 0.000